Here is a relaxed MnFe2Hg crystal from Alexandria. Energies are from PBE.

Computed properties:
Formation enthalpy at 0 K (eV/atom): 0.37
Energy (eV per cell): -24.92
Fermi-level density of states (states/eV/f.u.): 4.4
Magnetization (μB/f.u.): 8.62

a = 3.7809 Å, b = 3.8041 Å, c = 4.0610 Å
α = 90.00°, β = 90.00°, γ = 90.00°
With the nearest neighbours (Å) after each atom.
Space group Pmmm (No. 47)
Inequivalent atoms, fractional coordinates:
Mn  0.0000  0.0000  0.0000  4 Hg 2.68, 8 Fe 2.77-2.78
Fe  0.0000  0.5000  0.5000  4 Fe 2.68, 4 Hg 2.77, 4 Mn 2.78
Fe  0.5000  0.0000  0.5000  4 Fe 2.68, 4 Mn 2.77, 4 Hg 2.78
Hg  0.5000  0.5000  0.0000  4 Mn 2.68, 8 Fe 2.77-2.78


Here is a relaxed YAlCr2 crystal from Alexandria. Energies are from PBE.

Computed properties:
Formation enthalpy at 0 K (eV/atom): 0.41
Energy (eV per cell): -27.81
Fermi-level density of states (states/eV/f.u.): 3.2
Magnetization (μB/f.u.): 5.15

a = 3.0067 Å, b = 4.2095 Å, c = 5.9469 Å
α = 90.00°, β = 104.36°, γ = 90.00°
With the nearest neighbours (Å) after each atom.
Space group P2/m (No. 10)
Inequivalent atoms, fractional coordinates:
Y  0.0000  0.0000  0.0000  2 Al 2.98, 2 Y 3.01, 8 Cr 3.04-3.19
Al  0.5000  0.0000  0.5000  4 Cr 2.56
Cr  0.2999  0.5000  0.6993  2 Al 2.56, 1 Cr 2.60


Here is a relaxed Cd2SeN crystal from Alexandria. Energies are from PBE.

Computed properties:
Formation energy (no corrections) (eV per atom): 0.27
Energy (eV per cell): -50.29
Fermi-level density of states (states/eV/f.u.): 3.5
Magnetization (μB/f.u.): 0.00

a = 5.7719 Å, b = 5.7719 Å, c = 10.6787 Å
α = 90.00°, β = 90.00°, γ = 90.00°
With the nearest neighbours (Å) after each atom.
Space group I-42d (No. 122)
Inequivalent atoms, fractional coordinates:
Cd  0.1719  0.2500  0.1250  2 N 2.20
Se  0.0000  0.0000  0.5000  4 Cd 2.73
N  0.0000  0.0000  0.0000  4 Cd 2.20


Here is a relaxed Sc2AlCl crystal from Alexandria. Energies are from PBE.

Computed properties:
Formation energy (no corrections) (eV per atom): -0.71
Energy (eV per cell): -42.21
Fermi-level density of states (states/eV/f.u.): 2.3
Magnetization (μB/f.u.): 0.00

a = 5.8854 Å, b = 3.3813 Å, c = 8.2953 Å
α = 90.00°, β = 103.49°, γ = 90.00°
With the nearest neighbours (Å) after each atom.
Space group C2/m (No. 12)
Inequivalent atoms, fractional coordinates:
Sc  0.2465  0.0000  0.2434  3 Cl 2.77-2.78, 3 Al 2.84-2.85
Al  0.0000  0.0000  0.5000  6 Sc 2.84-2.85
Cl  0.0000  0.5000  0.0000  6 Sc 2.77-2.78


- Which of these has the highest energy?
  MnFe2Hg


- The highest magnetization belongs to which entry?
  MnFe2Hg


- The highest energy belongs to which entry?
  MnFe2Hg


What did the fourth record say?
Here is a relaxed Sc2AlCl crystal from Alexandria. Energies are from PBE.

Computed properties:
Formation energy (no corrections) (eV per atom): -0.71
Energy (eV per cell): -42.21
Fermi-level density of states (states/eV/f.u.): 2.3
Magnetization (μB/f.u.): 0.00

a = 5.8854 Å, b = 3.3813 Å, c = 8.2953 Å
α = 90.00°, β = 103.49°, γ = 90.00°
With the nearest neighbours (Å) after each atom.
Space group C2/m (No. 12)
Inequivalent atoms, fractional coordinates:
Sc  0.2465  0.0000  0.2434  3 Cl 2.77-2.78, 3 Al 2.84-2.85
Al  0.0000  0.0000  0.5000  6 Sc 2.84-2.85
Cl  0.0000  0.5000  0.0000  6 Sc 2.77-2.78